1.
# Pm4Sm2HoTh

A relaxed structure of Pm4Sm2HoTh (PBE, the Alexandria database).

The space group is P2/m (No. 10) and the conventional cell measures 6.060, 6.065 and 7.295 Å, with angles of 90.00, 90.08 and 90.00 degrees. The asymmetric unit holds Pm at (0.000, 0.000, 0.247), Pm at (0.500, 0.500, 0.247), Sm at (0.000, 0.500, 0.000), Sm at (0.500, 0.000, 0.500), Ho at (0.000, 0.500, 0.500) and Th at (0.500, 0.000, 0.000).

The value obtained for the density is 7.9 g cm⁻³. For the formation energy, the calculation gives 0.1366 eV per atom. As for the spin magnetization: 0.00 μB/f.u.

=====

2.
# NpSb2

A relaxed structure of NpSb2 (PBE, the Alexandria database).

The space group is I4/mmm (No. 139) and the conventional cell measures 3.915, 3.915 and 10.158 Å, with angles of 90.00, 90.00 and 90.00 degrees. The asymmetric unit holds Np at (0.000, 0.000, 0.000) and Sb at (0.000, 0.000, 0.336).

The value obtained for the density is 10.3 g cm⁻³. As for the spin magnetization: 4.37 μB/f.u. As for the formation energy (no corrections): -0.116 eV per atom.

=====

3.
# TcNiN3

A relaxed structure of TcNiN3 (PBE, the Alexandria database).

The space group is Pm-3m (No. 221) and the conventional cell measures 3.616, 3.616 and 3.616 Å, with angles of 90.00, 90.00 and 90.00 degrees. The asymmetric unit holds Tc at (0.000, 0.000, 0.000), Ni at (0.500, 0.500, 0.500) and N at (0.000, 0.500, 0.500).

The value obtained for the density is 7.0 g cm⁻³. As for the spin magnetization: 0.84 μB/f.u. As for the formation energy (no corrections): 1.597 eV per atom.

=====

4.
# CsCr2CoBr

A relaxed structure of CsCr2CoBr (PBE, the Alexandria database).

The space group is P4/mmm (No. 123) and the conventional cell measures 4.730, 4.730 and 7.232 Å, with angles of 90.00, 90.00 and 90.00 degrees. The asymmetric unit holds Cs at (0.000, 0.000, 0.000), Cr at (0.000, 0.500, 0.500), Co at (0.000, 0.000, 0.500) and Br at (0.500, 0.500, 0.000).

The value obtained for the density is 3.9 g cm⁻³. As for the spin magnetization: 7.50 μB/f.u. As for the formation energy (no corrections): 0.729 eV per atom.

=====

| no. | total energy (eV/atom) | Fermi-level density of states (states/eV/cell) |
| --- | --- | --- |
| 1 | -4.92 | 16.039 |
| 2 | -7.18 | 14.228 |
| 3 | -6.63 | 3.458 |
| 4 | -5.05 | 5.564 |